No. 1
A plane-wave DFT calculation with PBE was carried out for crystalline Ca2SnS4 at its relaxed geometry.

The space group is Pbam (No. 55) and the conventional cell measures 7.120, 11.479 and 3.975 Å, with angles of 90.00, 90.00 and 90.00 degrees. The distinct sites, in fractional coordinates, are Ca at (0.094, 0.185, 0.000), Sn at (0.000, 0.500, 0.500), S at (0.126, 0.704, 0.500) and S at (0.236, 0.449, 0.000).

The calculation puts the relative energy among the computed polymorphs at 27 meV/atom. The calculation puts the formation energy (no corrections) at -1370 meV per atom.

***

No. 2
A plane-wave DFT calculation with PBE was carried out for crystalline Te2AuSe2 at its relaxed geometry.

The space group is P4/mbm (No. 127) and the conventional cell measures 7.917, 7.917 and 4.544 Å, with angles of 90.00, 90.00 and 90.00 degrees. The distinct sites, in fractional coordinates, are Te at (0.208, 0.292, 0.000), Au at (0.000, 0.000, 0.000) and Se at (0.163, 0.663, 0.500).

The calculation puts the relative energy among the computed polymorphs at 170 meV/atom. The density of states at the Fermi level is 2.31 states/eV/f.u. The calculation puts the formation energy (no corrections) at 194 meV per atom.

***

No. 3
A plane-wave DFT calculation with PBE was carried out for crystalline PuTh2CrC4 at its relaxed geometry.

The space group is Cmcm (No. 63) and the conventional cell measures 3.588, 11.995 and 12.591 Å, with angles of 90.00, 90.00 and 90.00 degrees. The distinct sites, in fractional coordinates, are Pu at (0.000, 0.102, 0.250), Th at (0.000, 0.366, 0.046), Cr at (0.000, 0.173, 0.750), C at (0.000, 0.000, 0.000), C at (0.000, 0.271, 0.640) and C at (0.000, 0.402, 0.250).

As for the calculated formation energy: 0.057 eV per atom. The density of states at the Fermi level is 11.61 states/eV/f.u.

***

No. 4
A plane-wave DFT calculation with PBE was carried out for crystalline Ba2GdGaTe5 at its relaxed geometry.

The space group is P-1 (No. 2) and the conventional cell measures 7.908, 9.345 and 10.213 Å, with angles of 103.32, 103.05 and 107.34 degrees. The distinct sites, in fractional coordinates, are Ba at (0.139, 0.481, 0.293), Ba at (0.141, 0.984, 0.286), Gd at (0.499, 0.234, 0.998), Ga at (0.311, 0.374, 0.688), Te at (0.014, 0.758, 0.508), Te at (0.198, 0.908, 0.942), Te at (0.208, 0.410, 0.930), Te at (0.488, 0.174, 0.681) and Te at (0.489, 0.661, 0.684).

The calculation puts the formation energy (no corrections) at -1302 meV per atom.

***

No. 5
A plane-wave DFT calculation with PBE was carried out for crystalline CeMgP2 at its relaxed geometry.

The space group is R-3m (No. 166, hexagonal axes) and the conventional cell measures 4.3421, 4.3421 and 22.2590 Å, with angles of 90.00, 90.00 and 120.00 degrees. The distinct sites, in fractional coordinates, are Ce at (0.0000, 0.0000, 0.0000), Mg at (0.0000, 0.0000, 0.5000) and P at (0.0000, 0.0000, 0.3930).

As for the calculated formation energy: -0.561 eV per atom. The calculation puts the relative energy among the computed polymorphs at 372 meV/atom.

***

No. 6
A plane-wave DFT calculation with PBE was carried out for crystalline Tb6Dy12Er at its relaxed geometry.

The space group is R-3m (No. 166, hexagonal axes) and the conventional cell measures 14.9435, 14.9435 and 10.1888 Å, with angles of 90.00, 90.00 and 120.00 degrees. The distinct sites, in fractional coordinates, are Tb at (0.0733, 0.5367, 0.2173), Dy at (0.0000, 0.3881, 0.5000), Dy at (0.0777, 0.1555, 0.2499) and Er at (0.0000, 0.0000, 0.0000).

As for the calculated formation energy: 0.458 eV per atom. The calculation puts the relative energy among the computed polymorphs at 303 meV/atom. The density of states at the Fermi level is 31.70 states/eV/f.u.

***

| no. | calculated volume (Å³/f.u.) |
| --- | --- |
| 1 | 162 |
| 2 | 142 |
| 3 | 135 |
| 4 | 332 |
| 5 | 121 |
| 6 | 657 |